(1)
Material: BaHoCu2S4
Method: DFT, GGA-PBE
State: optimized geometry

Formation energy (no corrections) (eV per atom): -1.13
Symmetry: I222 (23)
Spin magnetization (μB/f.u.): 0.0

Lattice parameters (Å, degrees): 6.6151 6.2782 6.2782 63.99 58.21 58.21
Fractional positions:
Ba: 0.0000 0.0000 0.0000
Ho: 0.5000 0.5000 0.5000
Cu: 0.2459 0.2541 0.2541
Cu: 0.7541 0.7459 0.7459
S: 0.4836 0.0850 0.5138
S: 0.0825 0.9150 0.4862
S: 0.9175 0.5138 0.0850
S: 0.5164 0.4862 0.9150

(2)
Material: Ba2HoCu2S4
Method: DFT, GGA-PBE
State: optimized geometry

Formation energy (no corrections) (eV per atom): -1.37
Symmetry: C2/m (12)
Spin magnetization (μB/f.u.): 0.0

Lattice parameters (Å, degrees): 3.9729 7.3464 7.6349 109.37 105.08 90.00
Fractional positions:
Ba: 0.1352 0.5653 0.2704
Ba: 0.8648 0.4347 0.7296
Ho: 0.0000 0.0000 0.0000
Cu: 0.6792 0.9918 0.3585
Cu: 0.3208 0.0082 0.6415
S: 0.1993 0.1808 0.3986
S: 0.8007 0.8192 0.6014
S: 0.5217 0.7576 0.0433
S: 0.4783 0.2424 0.9567

(3)
Material: BaHoCu2Se4
Method: DFT, GGA-PBE
State: optimized geometry

Formation energy (no corrections) (eV per atom): -1.02
Symmetry: I-42m (121)
Spin magnetization (μB/f.u.): 0.0

Lattice parameters (Å, degrees): 6.9817 6.5604 6.5604 64.29 57.85 57.85
Fractional positions:
Ba: 0.0000 0.0000 0.0000
Ho: 0.5000 0.5000 0.5000
Cu: 0.2497 0.2503 0.2503
Cu: 0.7503 0.7497 0.7497
Se: 0.4850 0.0824 0.5148
Se: 0.0822 0.9176 0.4852
Se: 0.9178 0.5148 0.0824
Se: 0.5150 0.4852 0.9176